GGA-PBE AgTe, relaxed; volume = 62.2 Å³ per cell; calculated total energy = -5.83 eV per cell
1.0
0.0000 3.1444 3.1444
3.1444 0.0000 3.1444
3.1444 3.1444 0.0000
Ag Te
1 1
direct
0.0000 0.0000 0.0000 Ag
0.7500 0.7500 0.7500 Te